{
  "formula": "SrHf4SnO12",
  "functional": "PBE",
  "state": "optimized geometry",
  "lattice": [[3.921, -4.048, 0.000], [3.921, 4.048, 0.000], [0.000, 0.000, 8.321]],
  "species": ["Sr", "Hf", "Hf", "Hf", "Hf", "Sn", "O", "O", "O", "O", "O", "O", "O", "O", "O", "O", "O", "O"],
  "fractional_positions": [[0.000, 0.000, 0.000], [0.000, 0.500, 0.255], [0.000, 0.500, 0.745], [0.500, 0.000, 0.255], [0.500, 0.000, 0.745], [0.500, 0.500, 0.500], [0.000, 0.500, 0.000], [0.000, 0.500, 0.500], [0.187, 0.813, 0.233], [0.187, 0.813, 0.767], [0.326, 0.326, 0.306], [0.326, 0.326, 0.694], [0.500, 0.000, 0.000], [0.500, 0.000, 0.500], [0.674, 0.674, 0.306], [0.674, 0.674, 0.694], [0.813, 0.187, 0.233], [0.813, 0.187, 0.767]],
  "raw_formation_energy_ev_per_fu": -48.0,
  "mass_density_g_cm3": 7.0,
  "final_energy_ev_per_atom": -8.502
}

{
  "formula": "TbPmErSc",
  "functional": "PBE",
  "state": "optimized geometry",
  "lattice": [[0.000, 3.932, 3.932], [3.932, 0.000, 3.932], [3.932, 3.932, 0.000]],
  "species": ["Tb", "Pm", "Er", "Sc"],
  "fractional_positions": [[0.000, 0.000, 0.000], [0.500, 0.500, 0.500], [0.250, 0.250, 0.250], [0.750, 0.750, 0.750]],
  "polymorph_energy_ev_per_atom": 0.012,
  "mass_density_g_cm3": 7.1,
  "e_form_mev_per_atom": 108,
  "final_energy_ev_per_atom": -4.961
}

{
  "formula": "Be3CdS",
  "functional": "PBE",
  "state": "optimized geometry",
  "lattice": [[4.169, 0.000, 0.000], [0.000, 4.169, 0.000], [0.000, 0.000, 4.169]],
  "species": ["Be", "Be", "Be", "Cd", "S"],
  "fractional_positions": [[0.000, 0.000, 0.500], [0.000, 0.500, 0.000], [0.500, 0.000, 0.000], [0.500, 0.500, 0.500], [0.000, 0.000, 0.000]],
  "polymorph_energy_ev_per_atom": 0.000,
  "raw_formation_energy_ev_per_fu": 3.3,
  "mass_density_g_cm3": 3.9,
  "final_energy_ev_per_atom": -2.594
}

{
  "formula": "GdErCdBi",
  "functional": "PBE",
  "state": "optimized geometry",
  "lattice": [[0.000, 3.821, 3.821], [3.821, 0.000, 3.821], [3.821, 3.821, 0.000]],
  "species": ["Gd", "Er", "Cd", "Bi"],
  "fractional_positions": [[0.000, 0.000, 0.000], [0.500, 0.500, 0.500], [0.250, 0.250, 0.250], [0.750, 0.750, 0.750]],
  "mass_density_g_cm3": 9.6,
  "e_form_mev_per_atom": -426,
  "final_energy_ev_per_atom": -6.286
}

{
  "formula": "Mn2CrPt",
  "functional": "PBE",
  "state": "optimized geometry",
  "lattice": [[0.000, 3.058, 3.058], [3.058, 0.000, 3.058], [3.058, 3.058, 0.000]],
  "species": ["Mn", "Mn", "Cr", "Pt"],
  "fractional_positions": [[0.000, 0.000, 0.000], [0.250, 0.250, 0.250], [0.500, 0.500, 0.500], [0.750, 0.750, 0.750]],
  "mass_density_g_cm3": 10.4,
  "e_form_mev_per_atom": -47,
  "final_energy_ev_per_atom": -8.548
}

{
  "formula": "CuMoPd2",
  "functional": "PBE",
  "state": "optimized geometry",
  "lattice": [[0.000, 3.099, 3.099], [3.099, 0.000, 3.099], [3.099, 3.099, 0.000]],
  "species": ["Cu", "Mo", "Pd", "Pd"],
  "fractional_positions": [[0.000, 0.000, 0.000], [0.500, 0.500, 0.500], [0.250, 0.250, 0.250], [0.750, 0.750, 0.750]],
  "polymorph_energy_ev_per_atom": 0.258,
  "mass_density_g_cm3": 10.4,
  "e_form_mev_per_atom": 170,
  "final_energy_ev_per_atom": -6.159
}

{
  "formula": "Mn2IrPt2",
  "functional": "PBE",
  "state": "optimized geometry",
  "lattice": [[6.380, 0.000, 0.000], [0.000, 6.380, 0.000], [0.000, 0.000, 3.494]],
  "species": ["Mn", "Mn", "Mn", "Mn", "Ir", "Ir", "Pt", "Pt", "Pt", "Pt"],
  "fractional_positions": [[0.114, 0.386, 0.000], [0.386, 0.886, 0.000], [0.614, 0.114, 0.000], [0.886, 0.614, 0.000], [0.000, 0.000, 0.000], [0.500, 0.500, 0.000], [0.182, 0.682, 0.500], [0.318, 0.182, 0.500], [0.682, 0.818, 0.500], [0.818, 0.318, 0.500]],
  "polymorph_energy_ev_per_atom": 0.000,
  "mass_density_g_cm3": 16.2,
  "e_form_mev_per_atom": 205,
  "final_energy_ev_per_atom": -7.651
}

{
  "formula": "CaSi2H",
  "functional": "PBE",
  "state": "optimized geometry",
  "lattice": [[5.609, -1.921, 0.000], [5.609, 1.921, 0.000], [-1.055, 0.000, 6.544]],
  "species": ["Ca", "Ca", "Si", "Si", "Si", "Si", "H", "H"],
  "fractional_positions": [[0.000, 0.000, 0.000], [0.524, 0.524, 0.554], [0.231, 0.231, 0.748], [0.285, 0.285, 0.109], [0.713, 0.713, 0.262], [0.817, 0.817, 0.608], [0.428, 0.428, 0.178], [0.539, 0.539, 0.879]],
  "polymorph_energy_ev_per_atom": 0.016,
  "mass_density_g_cm3": 2.3,
  "final_energy_ev_per_atom": -4.314
}

{
  "formula": "TcB3I",
  "functional": "PBE",
  "state": "optimized geometry",
  "lattice": [[4.334, 0.000, 0.000], [0.000, 4.334, 0.000], [0.000, 0.000, 4.334]],
  "species": ["Tc", "B", "B", "B", "I"],
  "fractional_positions": [[0.000, 0.000, 0.000], [0.000, 0.500, 0.500], [0.500, 0.000, 0.500], [0.500, 0.500, 0.000], [0.500, 0.500, 0.500]],
  "polymorph_energy_ev_per_atom": 1.461,
  "raw_formation_energy_ev_per_fu": 15.0,
  "mass_density_g_cm3": 5.3,
  "final_energy_ev_per_atom": -3.397
}

{
  "formula": "LaSiSn",
  "functional": "PBE",
  "state": "optimized geometry",
  "lattice": [[2.181, -9.251, 0.000], [2.181, 9.251, 0.000], [0.000, 0.000, 3.988]],
  "species": ["La", "La", "Si", "Si", "Sn", "Sn"],
  "fractional_positions": [[0.096, 0.904, 0.750], [0.904, 0.096, 0.250], [0.463, 0.537, 0.750], [0.537, 0.463, 0.250], [0.266, 0.734, 0.250], [0.734, 0.266, 0.750]],
  "raw_formation_energy_ev_per_fu": -1.8,
  "mass_density_g_cm3": 5.9,
  "final_energy_ev_per_atom": -5.383
}

{
  "formula": "Sc2Si4Rh5",
  "functional": "PBE",
  "state": "optimized geometry",
  "lattice": [[0.000, 4.633, 6.988], [2.758, 0.000, 6.988], [2.758, 4.633, 0.000]],
  "species": ["Sc", "Sc", "Si", "Si", "Si", "Si", "Rh", "Rh", "Rh", "Rh", "Rh"],
  "fractional_positions": [[0.121, 0.121, 0.879], [0.879, 0.879, 0.121], [0.216, 0.517, 0.483], [0.483, 0.784, 0.216], [0.517, 0.216, 0.784], [0.784, 0.483, 0.517], [0.000, 0.000, 0.500], [0.250, 0.250, 0.250], [0.500, 0.500, 0.000], [0.500, 0.500, 0.500], [0.750, 0.750, 0.750]],
  "raw_formation_energy_ev_per_fu": -9.3,
  "mass_density_g_cm3": 6.7,
  "final_energy_ev_per_atom": -7.313
}

{
  "formula": "CeGe3Au",
  "functional": "PBE",
  "state": "optimized geometry",
  "lattice": [[2.271, -11.199, 0.000], [2.271, 11.199, 0.000], [0.000, 0.000, 4.313]],
  "species": ["Ce", "Ce", "Ge", "Ge", "Ge", "Ge", "Ge", "Ge", "Au", "Au"],
  "fractional_positions": [[0.168, 0.832, 0.000], [0.832, 0.168, 0.000], [0.056, 0.944, 0.500], [0.272, 0.728, 0.500], [0.445, 0.555, 0.000], [0.555, 0.445, 0.000], [0.728, 0.272, 0.500], [0.944, 0.056, 0.500], [0.383, 0.617, 0.500], [0.617, 0.383, 0.500]],
  "mass_density_g_cm3": 8.4,
  "e_form_mev_per_atom": -345,
  "final_energy_ev_per_atom": -4.958
}

{
  "formula": "Ba3LaCd2O6",
  "functional": "PBE",
  "state": "optimized geometry",
  "lattice": [[6.481, 0.000, 0.000], [-3.240, 5.612, 0.000], [0.000, 0.000, 7.084]],
  "species": ["Ba", "Ba", "Ba", "La", "Cd", "Cd", "O", "O", "O", "O", "O", "O"],
  "fractional_positions": [[0.000, 0.000, 0.000], [0.333, 0.667, 0.605], [0.667, 0.333, 0.395], [0.000, 0.000, 0.500], [0.333, 0.667, 0.139], [0.667, 0.333, 0.861], [0.168, 0.336, 0.300], [0.168, 0.832, 0.300], [0.336, 0.168, 0.700], [0.664, 0.832, 0.300], [0.832, 0.168, 0.700], [0.832, 0.664, 0.700]],
  "raw_formation_energy_ev_per_fu": -24.2,
  "mass_density_g_cm3": 5.6,
  "final_energy_ev_per_atom": -5.536
}

{
  "formula": "YTlTe2",
  "functional": "PBE",
  "state": "optimized geometry",
  "lattice": [[2.253, -12.480, 0.000], [2.253, 12.480, 0.000], [0.000, 0.000, 5.875]],
  "species": ["Y", "Y", "Tl", "Tl", "Te", "Te", "Te", "Te"],
  "fractional_positions": [[0.066, 0.934, 0.750], [0.934, 0.066, 0.250], [0.316, 0.684, 0.750], [0.684, 0.316, 0.250], [0.057, 0.943, 0.250], [0.181, 0.819, 0.750], [0.819, 0.181, 0.250], [0.943, 0.057, 0.750]],
  "raw_formation_energy_ev_per_fu": -2.3,
  "mass_density_g_cm3": 5.5,
  "final_energy_ev_per_atom": -4.357
}

{
  "formula": "Pm12Ir3N5",
  "functional": "PBE",
  "state": "optimized geometry",
  "lattice": [[-7.812, 7.812, 7.812], [7.812, -7.812, 7.812], [7.812, 7.812, -7.812]],
  "species": ["Pm", "Pm", "Pm", "Pm", "Pm", "Pm", "Pm", "Pm", "Pm", "Pm", "Pm", "Pm", "Pm", "Pm", "Pm", "Pm", "Pm", "Pm", "Pm", "Pm", "Pm", "Pm", "Pm", "Pm", "Pm", "Pm", "Pm", "Pm", "Pm", "Pm", "Pm", "Pm", "Pm", "Pm", "Pm", "Pm", "Pm", "Pm", "Pm", "Pm", "Pm", "Pm", "Pm", "Pm", "Pm", "Pm", "Pm", "Pm", "Ir", "Ir", "Ir", "Ir", "Ir", "Ir", "Ir", "Ir", "Ir", "Ir", "Ir", "Ir", "N", "N", "N", "N", "N", "N", "N", "N", "N", "N", "N", "N", "N", "N", "N", "N", "N", "N", "N", "N"],
  "fractional_positions": [[0.025, 0.206, 0.121], [0.025, 0.319, 0.905], [0.086, 0.706, 0.681], [0.086, 0.879, 0.405], [0.095, 0.621, 0.414], [0.095, 0.975, 0.681], [0.121, 0.025, 0.206], [0.121, 0.595, 0.914], [0.181, 0.206, 0.586], [0.181, 0.475, 0.595], [0.206, 0.121, 0.025], [0.206, 0.586, 0.181], [0.294, 0.319, 0.914], [0.294, 0.475, 0.379], [0.319, 0.905, 0.025], [0.319, 0.914, 0.294], [0.379, 0.294, 0.475], [0.379, 0.586, 0.905], [0.405, 0.086, 0.879], [0.405, 0.819, 0.525], [0.414, 0.095, 0.621], [0.414, 0.819, 0.794], [0.475, 0.379, 0.294], [0.475, 0.595, 0.181], [0.525, 0.405, 0.819], [0.525, 0.621, 0.706], [0.586, 0.181, 0.206], [0.586, 0.905, 0.379], [0.595, 0.181, 0.475], [0.595, 0.914, 0.121], [0.621, 0.414, 0.095], [0.621, 0.706, 0.525], [0.681, 0.086, 0.706], [0.681, 0.095, 0.975], [0.706, 0.525, 0.621], [0.706, 0.681, 0.086], [0.794, 0.414, 0.819], [0.794, 0.879, 0.975], [0.819, 0.525, 0.405], [0.819, 0.794, 0.414], [0.879, 0.405, 0.086], [0.879, 0.975, 0.794], [0.905, 0.025, 0.319], [0.905, 0.379, 0.586], [0.914, 0.121, 0.595], [0.914, 0.294, 0.319], [0.975, 0.681, 0.095], [0.975, 0.794, 0.879], [0.125, 0.250, 0.375], [0.125, 0.375, 0.750], [0.250, 0.375, 0.125], [0.250, 0.875, 0.625], [0.375, 0.125, 0.250], [0.375, 0.750, 0.125], [0.625, 0.250, 0.875], [0.625, 0.875, 0.750], [0.750, 0.125, 0.375], [0.750, 0.625, 0.875], [0.875, 0.625, 0.250], [0.875, 0.750, 0.625], [0.000, 0.000, 0.000], [0.000, 0.000, 0.500], [0.000, 0.500, 0.000], [0.000, 0.500, 0.500], [0.125, 0.750, 0.875], [0.125, 0.875, 0.250], [0.250, 0.125, 0.875], [0.250, 0.625, 0.375], [0.375, 0.250, 0.625], [0.375, 0.625, 0.750], [0.500, 0.000, 0.000], [0.500, 0.000, 0.500], [0.500, 0.500, 0.000], [0.500, 0.500, 0.500], [0.625, 0.375, 0.250], [0.625, 0.750, 0.375], [0.750, 0.375, 0.625], [0.750, 0.875, 0.125], [0.875, 0.125, 0.750], [0.875, 0.250, 0.125]],
  "raw_formation_energy_ev_per_fu": -16.9,
  "mass_density_g_cm3": 8.3,
  "final_energy_ev_per_atom": -7.104
}

{
  "formula": "Li2TcW",
  "functional": "PBE",
  "state": "optimized geometry",
  "lattice": [[1.339, 0.773, 9.799], [-1.339, 0.773, 9.799], [0.000, -1.546, 9.799]],
  "species": ["Li", "Li", "Tc", "W"],
  "fractional_positions": [[0.247, 0.247, 0.247], [0.753, 0.753, 0.753], [0.500, 0.500, 0.500], [0.000, 0.000, 0.000]],
  "polymorph_energy_ev_per_atom": 0.242,
  "mass_density_g_cm3": 8.1,
  "e_form_mev_per_atom": 458,
  "final_energy_ev_per_atom": -6.329
}

{
  "formula": "SrScMn3",
  "functional": "PBE",
  "state": "optimized geometry",
  "lattice": [[5.014, 0.000, 0.000], [0.000, 5.014, 0.000], [0.000, 0.000, 5.014]],
  "species": ["Sr", "Sc", "Mn", "Mn", "Mn"],
  "fractional_positions": [[0.000, 0.000, 0.000], [0.500, 0.500, 0.500], [0.000, 0.500, 0.500], [0.500, 0.000, 0.500], [0.500, 0.500, 0.000]],
  "polymorph_energy_ev_per_atom": 0.000,
  "mass_density_g_cm3": 3.9,
  "e_form_mev_per_atom": 910,
  "final_energy_ev_per_atom": -6.194
}

{
  "formula": "TiSiRhW2",
  "functional": "PBE",
  "state": "optimized geometry",
  "lattice": [[4.534, 0.000, 0.000], [0.000, 4.534, 0.000], [0.000, 0.000, 4.493]],
  "species": ["Ti", "Si", "Rh", "W", "W"],
  "fractional_positions": [[0.000, 0.000, 0.000], [0.000, 0.000, 0.500], [0.500, 0.500, 0.500], [0.000, 0.500, 0.000], [0.500, 0.000, 0.000]],
  "polymorph_energy_ev_per_atom": 0.982,
  "raw_formation_energy_ev_per_fu": 8.4,
  "mass_density_g_cm3": 9.8,
  "final_energy_ev_per_atom": -7.635
}

{
  "formula": "Tb4Dy6Er",
  "functional": "PBE",
  "state": "optimized geometry",
  "lattice": [[2.848, -4.784, 0.000], [2.848, 4.784, 0.000], [0.000, 0.000, 25.466]],
  "species": ["Tb", "Tb", "Tb", "Tb", "Tb", "Tb", "Tb", "Tb", "Dy", "Dy", "Dy", "Dy", "Dy", "Dy", "Dy", "Dy", "Dy", "Dy", "Dy", "Dy", "Er", "Er"],
  "fractional_positions": [[0.036, 0.964, 0.622], [0.036, 0.964, 0.878], [0.346, 0.654, 0.543], [0.346, 0.654, 0.957], [0.654, 0.346, 0.043], [0.654, 0.346, 0.457], [0.964, 0.036, 0.122], [0.964, 0.036, 0.378], [0.000, 0.000, 0.000], [0.000, 0.000, 0.500], [0.029, 0.971, 0.750], [0.304, 0.696, 0.105], [0.304, 0.696, 0.395], [0.363, 0.637, 0.682], [0.363, 0.637, 0.818], [0.637, 0.363, 0.182], [0.637, 0.363, 0.318], [0.696, 0.304, 0.605], [0.696, 0.304, 0.895], [0.971, 0.029, 0.250], [0.306, 0.694, 0.250], [0.694, 0.306, 0.750]],
  "polymorph_energy_ev_per_atom": 0.000,
  "mass_density_g_cm3": 8.5,
  "e_form_mev_per_atom": 129,
  "final_energy_ev_per_atom": -4.480
}

{
  "formula": "CaZrTe2N",
  "functional": "PBE",
  "state": "optimized geometry",
  "lattice": [[5.704, 0.000, 0.000], [0.000, 5.704, 0.000], [0.000, 0.000, 4.041]],
  "species": ["Ca", "Zr", "Te", "Te", "N"],
  "fractional_positions": [[0.000, 0.000, 0.000], [0.500, 0.500, 0.500], [0.000, 0.500, 0.000], [0.500, 0.000, 0.000], [0.000, 0.000, 0.500]],
  "polymorph_energy_ev_per_atom": 1.252,
  "raw_formation_energy_ev_per_fu": 3.0,
  "mass_density_g_cm3": 5.1,
  "final_energy_ev_per_atom": -4.428
}